Material: SrPm2
Method: DFT, PBE
State: optimized geometry

Cell: 3.794 3.794 16.438 Å, 90.00 90.00 90.00°
Space group I4/mmm (No. 139)
Unique sites:
Sr: 0.000 0.000 0.000 (multiplicity 2)
Pm: 0.000 0.000 0.321 (multiplicity 4)

ΔH_f (0 K), eV/f.u.: 0.3
Energy above the most stable polymorph in this dataset, meV per atom: 0
Total energy, eV/cell: -21.8
Spin magnetization, μB/cell: 0.0